(1)
Entry from the Alexandria database: crystalline Rb2TlGeI6 at its relaxed geometry (PBE-GGA).

## Properties
**Space group**: No. 14
**DOS at the Fermi energy**: 4.17 states/eV/f.u.
**Formation energy without anion corrections**: -800 meV/atom
**Excess energy over the best structure of this formula in the dataset**: 0.00 eV/f.u.
**Magnetization**: 0.00 μB per formula unit

The structure in POSCAR format:
```
Rb2TlGeI6
1.0
8.408 0.000 -0.011
0.000 8.782 0.000
0.060 0.000 12.052
Rb I Tl Ge
4 12 2 2
Cartesian
4.027 3.756 2.982 Rb
0.208 8.147 3.039 Rb
4.442 5.026 9.059 Rb
8.261 0.635 9.003 Rb
4.882 0.096 2.848 I
0.708 4.295 8.880 I
6.026 2.751 6.516 I
1.584 1.906 5.541 I
3.587 8.686 9.193 I
6.677 7.142 11.546 I
5.818 2.485 11.561 I
1.791 1.640 0.496 I
2.443 6.031 5.525 I
7.761 4.487 3.162 I
6.885 6.876 6.501 I
2.651 6.297 0.480 I
0.000 4.391 0.000 Tl
4.234 0.000 6.021 Tl
0.030 4.391 6.026 Ge
4.204 0.000 -0.005 Ge
```



(2)
Entry from the Alexandria database: crystalline Ca3NdTe4 at its relaxed geometry (PBE-GGA).

## Properties
**Space group**: No. 65
**DOS at the Fermi energy**: 2.54 states/eV/f.u.
**Formation energy without anion corrections**: -1574 meV/atom
**Magnetization**: 0.00 μB per formula unit

The structure in POSCAR format:
```
Ca3NdTe4
1.0
4.488 0.000 0.000
0.000 7.818 -0.065
0.000 -2.526 7.399
Ca Te Nd
3 4 1
Cartesian
0.000 3.909 -0.032 Ca
0.000 -1.263 3.700 Ca
2.244 2.646 3.667 Ca
2.244 0.068 5.527 Te
2.244 5.224 1.807 Te
0.000 1.336 1.852 Te
0.000 3.956 5.482 Te
2.244 0.000 0.000 Nd
```



(3)
Entry from the Alexandria database: crystalline LaTmCCl at its relaxed geometry (PBE-GGA).

## Properties
**Space group**: No. 160
**DOS at the Fermi energy**: 2.33 states/eV/f.u.
**Formation energy without anion corrections**: -1064 meV/atom
**Magnetization**: 0.00 μB per formula unit

The structure in POSCAR format:
```
LaTmCCl
1.0
3.667 -0.001 0.000
-1.833 3.176 0.000
-1.833 -1.058 7.206
Tm Cl La C
1 1 1 1
Cartesian
-1.487 2.944 0.417 Tm
2.180 0.826 2.411 Cl
0.346 -0.232 4.912 La
-1.487 0.826 6.452 C
```



(4)
Entry from the Alexandria database: crystalline Cs2MgPCl6 at its relaxed geometry (PBE-GGA).

## Properties
**Space group**: No. 139
**DOS at the Fermi energy**: 2.02 states/eV/f.u.
**Formation energy without anion corrections**: -1311 meV/atom
**Magnetization**: 1.00 μB per formula unit

The structure in POSCAR format:
```
Cs2MgPCl6
1.0
-1.093 -3.700 -6.435
-2.356 -5.995 3.848
-6.508 -3.093 -1.490
P Cs Cl Mg
1 2 6 1
Cartesian
0.000 0.000 0.000 P
-4.663 -5.821 -4.609 Cs
-5.295 -6.968 0.532 Cs
-2.022 -5.388 1.125 Cl
-1.428 -4.308 -3.713 Cl
-5.672 -8.880 -2.679 Cl
-0.913 -2.567 -0.685 Cl
-2.536 -7.128 -1.902 Cl
-4.286 -3.908 -1.399 Cl
-1.725 -4.848 -1.294 Mg
```



(5)
Entry from the Alexandria database: crystalline KCd2P at its relaxed geometry (PBE-GGA).

## Properties
**Space group**: No. 12
**Formation energy from the elements**: 0.180 eV per atom
**DOS at the Fermi energy**: 1.41 states/eV/f.u.
**Magnetization**: 0.00 μB per formula unit

The structure in POSCAR format:
```
KCd2P
1.0
-5.343 -0.625 -1.689
4.414 -4.131 -2.990
-0.205 -2.406 1.601
K Cd P
1 2 1
Cartesian
2.105 -3.269 -0.694 K
0.000 0.000 0.000 Cd
-2.774 -1.516 -0.044 Cd
-0.465 -2.378 -2.340 P
```



(6)
Entry from the Alexandria database: crystalline CaAlZn2Cu at its relaxed geometry (PBE-GGA).

## Properties
**Space group**: No. 123
**Formation energy from the elements**: -0.044 eV per atom
**DOS at the Fermi energy**: 2.64 states/eV/f.u.
**Excess energy over the best structure of this formula in the dataset**: 0.00 eV/f.u.
**Magnetization**: 0.00 μB per formula unit

The structure in POSCAR format:
```
CaAlZn2Cu
1.0
4.686 0.000 0.000
0.000 4.686 0.000
0.000 0.000 4.618
Ca Zn Cu Al
1 2 1 1
Cartesian
2.343 2.343 2.309 Ca
0.000 2.343 0.000 Zn
2.343 0.000 0.000 Zn
0.000 0.000 0.000 Cu
0.000 0.000 2.309 Al
```